The following is a DFT calculation (PBE) of crystalline FeSiBC at its relaxed geometry.

Lattice parameters (Å, degrees): 2.7913 2.7913 16.3315 90.00 90.00 120.00
Last column: magnetic moment on the atom in μB.
Positions (direct):
C 0.0000 0.0000 0.0147  0.01
C 0.3333 0.6667 0.6814  0.01
C 0.6667 0.3333 0.3481  0.01
Si 0.0000 0.0000 0.1285  -0.04
Si 0.3333 0.6667 0.7951  -0.04
Si 0.6667 0.3333 0.4618  -0.04
B 0.0000 0.0000 0.6637  -0.01
B 0.3333 0.6667 0.3304  -0.01
B 0.6667 0.3333 0.9971  -0.01
Fe 0.0000 0.0000 0.8906  0.88
Fe 0.3333 0.6667 0.5573  0.88
Fe 0.6667 0.3333 0.2240  0.88

Computed properties:
Formation energy (no corrections), eV per atom: -0.0576
Symmetry: No. 160
Spin magnetization, μB/cell: 2.359